A plane-wave DFT calculation with PBE+U was carried out for CsTbMo2O8 after structural relaxation.

Values from the calculation:
E	-7.0780	eV per atom
magnetic moment	0.00	Bohr magnetons per cell

a b c (Å): 10.9411 10.6307 7.8413
angles (deg): 90.00 130.73 90.00
Last column: nearest neighbours and their distance in Å.
Space group C2/c (No. 15)
One atom of each set of equivalent atoms:
Cs (0.0000, 0.1926, 0.2500)  10 O 2.92-3.20
Tb (0.0000, 0.2279, 0.7500)  6 O 2.33-2.41
Mo (0.1919, 0.4989, 0.7307)  3 O 1.78-1.85
O (0.0210, 0.3919, 0.9642)  2 Mo 2.03-2.10
O (0.1374, 0.0811, 0.7078)  1 Mo 1.82
O (0.1847, 0.4280, 0.4278)  1 Mo 1.78
O (0.2220, 0.1543, 0.1244)  1 Mo 1.85